DFT (PBE) results for a relaxed HoMg9Sc2 crystal.

The structure in POSCAR format:
```
HoMg9Sc2
1.0
4.5724 0.0000 0.0000
0.0000 4.5724 0.0000
0.0000 0.0000 13.5955
Ho Mg Sc
1 9 2
Direct
0.0000 0.0000 0.0000 Ho
0.0000 0.5000 0.1729 Mg
0.0000 0.5000 0.5000 Mg
0.0000 0.5000 0.8271 Mg
0.5000 0.0000 0.1729 Mg
0.5000 0.0000 0.5000 Mg
0.5000 0.0000 0.8271 Mg
0.5000 0.5000 0.0000 Mg
0.5000 0.5000 0.3373 Mg
0.5000 0.5000 0.6627 Mg
0.0000 0.0000 0.3371 Sc
0.0000 0.0000 0.6629 Sc
```

Total DFT energy (no corrections)   -2.68 eV per atom
E_form   -46 meV per atom

***

DFT (PBE) results for a relaxed Ac6Ni2IrPd crystal.

The structure in POSCAR format:
```
Ac6Ni2IrPd
1.0
3.7540 2.1674 6.9655
-3.7540 2.1674 6.9655
0.0000 -4.3348 6.9655
Ac Ni Ir Pd
6 2 1 1
Direct
0.0017 0.3259 0.6725 Ac
0.1800 0.8138 0.5149 Ac
0.3259 0.6725 0.0017 Ac
0.5150 0.1800 0.8138 Ac
0.6725 0.0017 0.3259 Ac
0.8138 0.5150 0.1800 Ac
0.4133 0.4133 0.4133 Ni
0.9160 0.9160 0.9160 Ni
0.5897 0.5897 0.5897 Ir
0.0907 0.0907 0.0907 Pd
```

Total DFT energy (no corrections)   -5.43 eV per atom
E_form   -403 meV per atom

***

DFT (PBE) results for a relaxed BaIn3Pb9 crystal.

The structure in POSCAR format:
```
BaIn3Pb9
1.0
3.1752 -8.1281 0.0000
3.1752 8.1281 0.0000
-3.0380 0.0000 8.1825
Ba In Pb
1 3 9
Direct
0.0000 0.0000 0.0000 Ba
0.0000 0.5000 0.0000 In
0.5000 0.0000 0.0000 In
0.5000 0.5000 0.5000 In
0.0000 0.0000 0.5000 Pb
0.0015 0.3582 0.3531 Pb
0.2885 0.5058 0.7865 Pb
0.3582 0.0015 0.3531 Pb
0.4942 0.7115 0.2135 Pb
0.5058 0.2885 0.7865 Pb
0.6418 0.9985 0.6469 Pb
0.7115 0.4942 0.2135 Pb
0.9985 0.6418 0.6469 Pb
```

Total DFT energy (no corrections)   -3.44 eV per atom
E_form   -93 meV per atom

***

DFT (PBE) results for a relaxed LiDy2Al4Au3 crystal.

The structure in POSCAR format:
```
LiDy2Al4Au3
1.0
4.2078 0.0000 0.0000
0.0000 4.2078 0.0000
0.0000 0.0000 11.0452
Li Dy Al Au
1 2 4 3
Direct
0.0000 0.0000 0.0000 Li
0.0000 0.5000 0.7486 Dy
0.5000 0.0000 0.2514 Dy
0.0000 0.0000 0.5000 Al
0.0000 0.5000 0.1354 Al
0.5000 0.0000 0.8646 Al
0.5000 0.5000 0.5000 Al
0.0000 0.5000 0.3617 Au
0.5000 0.0000 0.6383 Au
0.5000 0.5000 0.0000 Au
```

Total DFT energy (no corrections)   -4.22 eV per atom
E_form   -627 meV per atom

***

DFT (PBE) results for a relaxed Pm2Nd8Cd crystal.

The structure in POSCAR format:
```
Pm2Nd8Cd
1.0
5.7671 -2.5799 0.0000
5.7671 2.5799 0.0000
-3.1441 0.0000 12.4470
Pm Nd Cd
2 8 1
Direct
0.1851 0.1851 0.2613 Pm
0.8149 0.8149 0.7387 Pm
0.0893 0.0893 0.6397 Nd
0.2538 0.2538 0.9126 Nd
0.3602 0.3602 0.5479 Nd
0.4637 0.4637 0.1760 Nd
0.5363 0.5363 0.8240 Nd
0.6398 0.6398 0.4521 Nd
0.7462 0.7462 0.0874 Nd
0.9107 0.9107 0.3603 Nd
0.0000 0.0000 0.0000 Cd
```

Total DFT energy (no corrections)   -4.44 eV per atom
E_form   -21 meV per atom

***

DFT (PBE) results for a relaxed PmRh2F8 crystal.

The structure in POSCAR format:
```
PmRh2F8
1.0
6.0657 -3.4970 0.0000
6.0657 3.4970 0.0000
-0.0018 0.0000 4.2381
Pm Rh F
1 2 8
Direct
0.0000 0.0000 0.0000 Pm
0.3332 0.3332 0.2887 Rh
0.6668 0.6668 0.7113 Rh
0.1629 0.1629 0.2646 F
0.1626 0.6741 0.2648 F
0.3259 0.8374 0.7352 F
0.3331 0.3331 0.7843 F
0.6669 0.6669 0.2157 F
0.6741 0.1626 0.2648 F
0.8374 0.3259 0.7352 F
0.8371 0.8371 0.7354 F
```

Total DFT energy (no corrections)   -5.20 eV per atom
Formation energy (no corrections)   -2074 meV/atom

***

DFT (PBE) results for a relaxed LiAl2In crystal.

The structure in POSCAR format:
```
LiAl2In
1.0
-2.1112 2.1112 4.1744
2.1112 -2.1112 4.1744
2.1112 2.1112 -4.1744
Li Al In
1 2 1
Direct
0.0000 0.0000 0.0000 Li
0.2500 0.7500 0.5000 Al
0.5000 0.5000 0.0000 Al
0.7500 0.2500 0.5000 In
```

Total DFT energy (no corrections)   -3.07 eV per atom
E_form   -40 meV per atom

***

DFT (PBE) results for a relaxed CaMg2Zn2In2 crystal.

The structure in POSCAR format:
```
CaMg2Zn2In2
1.0
2.3543 1.3593 8.4728
-2.3543 1.3593 8.4728
0.0000 -2.7185 8.4728
Ca Mg Zn In
1 2 2 2
Direct
0.0000 0.0000 0.0000 Ca
0.1344 0.1344 0.1344 Mg
0.8656 0.8656 0.8656 Mg
0.4019 0.4019 0.4019 Zn
0.5981 0.5981 0.5981 Zn
0.2548 0.2548 0.2548 In
0.7452 0.7452 0.7452 In
```

Total DFT energy (no corrections)   -2.07 eV per atom
E_form   -182 meV per atom

***

DFT (PBE) results for a relaxed Pa2TaCr crystal.

The structure in POSCAR format:
```
Pa2TaCr
1.0
1.5157 0.8751 10.1905
-1.5157 0.8751 10.1905
0.0000 -1.7502 10.1905
Pa Ta Cr
2 1 1
Direct
0.0947 0.0947 0.0947 Pa
0.9053 0.9053 0.9053 Pa
0.0000 0.0000 0.0000 Ta
0.5000 0.5000 0.5000 Cr
```

Total DFT energy (no corrections)   -9.52 eV per atom
E_form   602 meV per atom

***

DFT (PBE) results for a relaxed Ca3SmHo2Te6 crystal.

The structure in POSCAR format:
```
Ca3SmHo2Te6
1.0
9.7234 -2.1975 0.0000
9.7234 2.1975 0.0000
-2.2482 0.0000 8.6456
Ca Sm Ho Te
3 1 2 6
Direct
0.0000 0.0000 0.0000 Ca
0.3352 0.3352 0.6688 Ca
0.6648 0.6648 0.3312 Ca
0.0000 0.0000 0.5000 Sm
0.3366 0.3366 0.1742 Ho
0.6634 0.6634 0.8258 Ho
0.1683 0.1683 0.5864 Te
0.1699 0.1699 0.0763 Te
0.4989 0.4989 0.2464 Te
0.5011 0.5011 0.7536 Te
0.8301 0.8301 0.9237 Te
0.8317 0.8317 0.4136 Te
```

Total DFT energy (no corrections)   -4.69 eV per atom
Formation energy (no corrections)   -1458 meV/atom

***

DFT (PBE) results for a relaxed Re2SiPt crystal.

The structure in POSCAR format:
```
Re2SiPt
1.0
4.3293 -1.9874 0.0000
4.3293 1.9874 0.0000
-3.9182 0.0000 6.9127
Re Si Pt
4 2 2
Direct
0.0000 0.0000 0.0000 Re
0.2780 0.2780 0.3455 Re
0.5180 0.5180 0.2353 Re
0.8327 0.8327 0.5979 Re
0.0359 0.0359 0.4607 Si
0.5008 0.5008 0.7573 Si
0.2326 0.2326 0.8151 Pt
0.7442 0.7442 0.0809 Pt
```

Total DFT energy (no corrections)   -9.22 eV per atom
Formation energy (no corrections)   -128 meV/atom

***

DFT (PBE) results for a relaxed As2WAu crystal.

The structure in POSCAR format:
```
As2WAu
1.0
-1.3965 2.4651 6.0956
1.3965 -2.4651 6.0956
1.3965 2.4651 -6.0956
As W Au
2 1 1
Direct
0.1789 0.1789 0.0000 As
0.8211 0.8211 0.0000 As
0.0000 0.5000 0.5000 W
0.5000 0.0000 0.5000 Au
```

Total DFT energy (no corrections)   -6.06 eV per atom
Offset from the most stable computed form   148 meV/atom
E_form   327 meV per atom

***

Table of magnetic moment (μB/atom), in record order: 0.000 0.000 0.000 0.000 0.000 0.452 0.000 0.000 0.000 0.000 0.000 0.000